1.
First-principles (PBE-GGA) data for crystalline MnCuNiHg2 at its relaxed geometry, as listed in Alexandria.

```
MnCuNiHg2
1.0
5.088 0.000 0.000
0.000 4.414 0.000
0.000 0.000 5.088
Hg Ni Cu Mn
2 1 1 1
direct
0.000 0.000 0.500
0.500 0.000 0.000
0.000 0.500 0.000
0.500 0.500 0.500
0.000 0.000 0.000
```

Properties
D(E_F), states/eV per cell: 3.51
Mass density, Mg/m³: 8.4
Formation energy, eV/atom: 0.993
Volume, Å³/atom: 22.854
SG: No. 123
Size of the total moment, Bohr magnetons per cell: 4.4

=====

2.
First-principles (PBE-GGA) data for crystalline TlGaPtSe at its relaxed geometry, as listed in Alexandria.

```
TlGaPtSe
1.0
6.765 0.000 -0.014
0.000 4.177 0.000
-2.560 0.000 6.793
Tl Se Pt Ga
2 2 2 2
direct
0.872 0.000 0.854
0.872 0.500 0.354
0.252 0.000 0.648
0.252 0.500 0.148
0.443 0.000 0.378
0.443 0.500 0.878
0.543 0.000 0.078
0.543 0.500 0.578
```

Properties
D(E_F), states/eV per cell: 2.69
Formation energy from raw total energies, eV per formula unit: -1.1
Mass density, Mg/m³: 9.5
Energy above the lowest structure with this stoichiometry, eV per formula unit: 0.12
Volume, Å³/atom: 23.973
SG: No. 8
Size of the total moment, Bohr magnetons per cell: 0.0

=====

Q: Among the records above, which one has the lowest D(E_F)?
A: TlGaPtSe